! PBE-GGA NdTm5Pb6, relaxed; values from VASP
&SYSTEM
  ibrav = 0, nat = 12, ntyp = 3
/
ATOMIC_SPECIES
Nd 144.24 Nd.upf
Tm 168.93 Tm.upf
Pb 207.20 Pb.upf
CELL_PARAMETERS angstrom
7.868 -4.413 0.000
7.868 4.413 0.000
-1.624 0.000 4.836
ATOMIC_POSITIONS angstrom
Nd 0.000 0.000 0.000
Tm 1.554 0.000 3.229
Tm 4.672 0.000 1.600
Tm 7.868 0.000 0.000
Tm 9.440 0.000 3.236
Tm 12.558 0.000 1.606
Pb 3.864 2.179 4.020
Pb 7.056 2.149 2.418
Pb 10.248 2.179 0.815
Pb 3.864 -2.179 4.020
Pb 7.056 -2.149 2.418
Pb 10.248 -2.179 0.815
! Energy relative to the elements   -389 meV/atom
! ΔE to the lowest computed polymorph   0.0076 eV/atom
! Total moment   0.000 μB/cell
! DOS(E_F)   0.90 states/eV/atom
! Calculated density   11039 kg/m³

! PBE-GGA Pr2SmZn2Ge2, relaxed; values from VASP
&SYSTEM
  ibrav = 0, nat = 7, ntyp = 4
/
ATOMIC_SPECIES
Pr 140.91 Pr.upf
Sm 150.36 Sm.upf
Zn 65.41 Zn.upf
Ge 72.64 Ge.upf
CELL_PARAMETERS angstrom
2.100 1.213 11.598
-2.100 1.213 11.598
0.000 -2.425 11.598
ATOMIC_POSITIONS angstrom
Pr 0.000 0.000 4.228
Pr 0.000 0.000 30.567
Sm 0.000 0.000 0.000
Zn 0.000 0.000 13.742
Zn 0.000 0.000 21.052
Ge 0.000 0.000 9.548
Ge 0.000 0.000 25.246
! Energy relative to the elements   -495 meV/atom
! Total moment   0.947 μB/cell
! DOS(E_F)   0.75 states/eV/atom
! Calculated density   6636 kg/m³